First-principles (PBE-GGA) data for Nd2Dy5Ho after structural relaxation, as listed in Alexandria.

Values from the calculation:
energy relative to the lowest polymorph listed for this composition: 142 meV per atom
volume: 32.6 Å³ per atom
crystal system: monoclinic
DFT formation energy: 1.3 eV/f.u.
space group: C2/c (15)

Cell and atoms, written as POSCAR:
```
Nd2Dy5Ho
1.0
8.142 -4.943 0.000
8.142 4.943 0.000
-1.119 0.000 6.479
Nd Dy Ho
4 10 2
Direct
0.164 0.675 0.878 Nd
0.325 0.836 0.622 Nd
0.675 0.164 0.378 Nd
0.836 0.325 0.122 Nd
0.010 0.190 0.648 Dy
0.190 0.010 0.148 Dy
0.213 0.387 0.472 Dy
0.387 0.213 0.972 Dy
0.441 0.559 0.250 Dy
0.559 0.441 0.750 Dy
0.613 0.787 0.028 Dy
0.787 0.613 0.528 Dy
0.810 0.990 0.852 Dy
0.990 0.810 0.352 Dy
0.000 0.500 0.000 Ho
0.500 0.000 0.500 Ho
```


First-principles (PBE-GGA) data for Ba2OsRuCl after structural relaxation, as listed in Alexandria.

Values from the calculation:
volume: 33.9 Å³ per atom
crystal system: tetragonal
formation energy without anion corrections: 19.71 kcal/mol of atoms
space group: P4/mmm (123)

Cell and atoms, written as POSCAR:
```
Ba2OsRuCl
1.0
6.189 0.000 0.000
0.000 6.189 0.000
0.000 0.000 4.427
Ba Os Ru Cl
2 1 1 1
Direct
0.000 0.500 0.000 Ba
0.500 0.000 0.000 Ba
0.000 0.000 0.000 Os
0.500 0.500 0.500 Ru
0.000 0.000 0.500 Cl
```


First-principles (PBE-GGA) data for LaAl2P after structural relaxation, as listed in Alexandria.

Values from the calculation:
volume: 21.7 Å³ per atom
crystal system: tetragonal
DFT formation energy: -2.4 eV/f.u.
space group: P4mm (99)

Cell and atoms, written as POSCAR:
```
LaAl2P
1.0
3.955 0.000 0.000
0.000 3.955 0.000
0.000 0.000 5.543
La Al P
1 2 1
Direct
0.000 0.000 0.000 La
0.000 0.500 0.537 Al
0.500 0.000 0.537 Al
0.500 0.500 0.229 P
```


First-principles (PBE-GGA) data for ZnTc2Sb after structural relaxation, as listed in Alexandria.

Values from the calculation:
energy relative to the lowest polymorph listed for this composition: 64 meV per atom
volume: 16.2 Å³ per atom
crystal system: tetragonal
formation energy without anion corrections: 3.84 kcal/mol of atoms
space group: P4mm (99)

Cell and atoms, written as POSCAR:
```
ZnTc2Sb
1.0
3.267 0.000 0.000
0.000 3.267 0.000
0.000 0.000 6.061
Zn Tc Sb
1 2 1
Direct
0.000 0.000 0.000 Zn
0.000 0.000 0.538 Tc
0.500 0.500 0.804 Tc
0.500 0.500 0.289 Sb
```


First-principles (PBE-GGA) data for BP2SeO after structural relaxation, as listed in Alexandria.

Values from the calculation:
energy relative to the lowest polymorph listed for this composition: 1200 meV per atom
volume: 16.9 Å³ per atom
crystal system: tetragonal
formation energy without anion corrections: 33.07 kcal/mol of atoms
space group: P4/mmm (123)

Cell and atoms, written as POSCAR:
```
BP2SeO
1.0
4.809 0.000 0.000
0.000 4.809 0.000
0.000 0.000 3.655
B P Se O
1 2 1 1
Direct
0.000 0.000 0.000 B
0.000 0.500 0.500 P
0.500 0.000 0.500 P
0.500 0.500 0.500 Se
0.500 0.500 0.000 O
```


First-principles (PBE-GGA) data for Dy3HoTc after structural relaxation, as listed in Alexandria.

Values from the calculation:
energy relative to the lowest polymorph listed for this composition: 38 meV per atom
volume: 29.2 Å³ per atom
crystal system: monoclinic
DFT formation energy: -0.1 eV/f.u.
space group: C2/m (12)

Cell and atoms, written as POSCAR:
```
Dy3HoTc
1.0
5.831 -4.300 0.000
5.831 4.300 0.000
-5.336 0.000 5.820
Dy Ho Tc
6 2 2
Direct
0.053 0.053 0.346 Dy
0.054 0.448 0.207 Dy
0.448 0.054 0.207 Dy
0.552 0.946 0.793 Dy
0.946 0.552 0.793 Dy
0.947 0.947 0.654 Dy
0.447 0.447 0.742 Ho
0.553 0.553 0.258 Ho
0.250 0.250 0.874 Tc
0.750 0.750 0.126 Tc
```


First-principles (PBE-GGA) data for LaMn2Rh2 after structural relaxation, as listed in Alexandria.

Values from the calculation:
energy relative to the lowest polymorph listed for this composition: 131 meV per atom
volume: 17.3 Å³ per atom
crystal system: tetragonal
DFT formation energy: -0.6 eV/f.u.
space group: P4/mbm (127)

Cell and atoms, written as POSCAR:
```
LaMn2Rh2
1.0
7.666 0.000 0.000
0.000 7.666 0.000
0.000 0.000 2.940
La Mn Rh
2 4 4
Direct
0.000 0.000 0.000 La
0.500 0.500 0.000 La
0.129 0.371 0.000 Mn
0.371 0.871 0.000 Mn
0.629 0.129 0.000 Mn
0.871 0.629 0.000 Mn
0.162 0.662 0.500 Rh
0.338 0.162 0.500 Rh
0.662 0.838 0.500 Rh
0.838 0.338 0.500 Rh
```


First-principles (PBE-GGA) data for ReSe2N after structural relaxation, as listed in Alexandria.

Values from the calculation:
volume: 18.6 Å³ per atom
crystal system: tetragonal
formation energy without anion corrections: 26.23 kcal/mol of atoms
space group: I-42d (122)

Cell and atoms, written as POSCAR:
```
ReSe2N
1.0
5.491 0.000 0.000
0.000 5.491 0.000
0.000 0.000 9.873
Re Se N
4 8 4
Direct
0.000 0.000 0.000 Re
0.000 0.500 0.250 Re
0.500 0.000 0.750 Re
0.500 0.500 0.500 Re
0.224 0.250 0.625 Se
0.250 0.724 0.875 Se
0.250 0.776 0.375 Se
0.276 0.250 0.125 Se
0.724 0.750 0.125 Se
0.750 0.224 0.375 Se
0.750 0.276 0.875 Se
0.776 0.750 0.625 Se
0.000 0.000 0.500 N
0.000 0.500 0.750 N
0.500 0.000 0.250 N
0.500 0.500 0.000 N
```


First-principles (PBE-GGA) data for TeAsRuN2 after structural relaxation, as listed in Alexandria.

Values from the calculation:
energy relative to the lowest polymorph listed for this composition: 651 meV per atom
volume: 19.7 Å³ per atom
crystal system: tetragonal
formation energy without anion corrections: 36.58 kcal/mol of atoms
space group: P4/mmm (123)

Cell and atoms, written as POSCAR:
```
TeAsRuN2
1.0
3.704 0.000 0.000
0.000 3.704 0.000
0.000 0.000 7.186
Te As Ru N
1 1 1 2
Direct
0.000 0.000 0.000 Te
0.000 0.000 0.500 As
0.500 0.500 0.000 Ru
0.000 0.500 0.500 N
0.500 0.000 0.500 N
```


First-principles (PBE-GGA) data for Na2SrZn2Sn2 after structural relaxation, as listed in Alexandria.

Values from the calculation:
volume: 26.8 Å³ per atom
crystal system: trigonal
DFT formation energy: -2.3 eV/f.u.
space group: R-3m (166)

Cell and atoms, written as POSCAR:
```
Na2SrZn2Sn2
1.0
2.358 1.361 9.751
-2.358 1.361 9.751
0.000 -2.722 9.751
Na Sr Zn Sn
2 1 2 2
Direct
0.137 0.137 0.137 Na
0.863 0.863 0.863 Na
0.000 0.000 0.000 Sr
0.409 0.409 0.409 Zn
0.591 0.591 0.591 Zn
0.256 0.256 0.256 Sn
0.744 0.744 0.744 Sn
```


First-principles (PBE-GGA) data for Zr3BW after structural relaxation, as listed in Alexandria.

Values from the calculation:
energy relative to the lowest polymorph listed for this composition: 1442 meV per atom
volume: 25.5 Å³ per atom
crystal system: cubic
DFT formation energy: 8.3 eV/f.u.
space group: Pm-3m (221)

Cell and atoms, written as POSCAR:
```
Zr3BW
1.0
5.033 0.000 0.000
0.000 5.033 0.000
0.000 0.000 5.033
Zr B W
3 1 1
Direct
0.000 0.000 0.500 Zr
0.000 0.500 0.000 Zr
0.500 0.000 0.000 Zr
0.500 0.500 0.500 B
0.000 0.000 0.000 W
```


First-principles (PBE-GGA) data for P2IrSe after structural relaxation, as listed in Alexandria.

Values from the calculation:
volume: 17.1 Å³ per atom
crystal system: monoclinic
formation energy without anion corrections: -1.33 kcal/mol of atoms
space group: Cm (8)

Cell and atoms, written as POSCAR:
```
P2IrSe
1.0
7.638 0.000 0.000
0.000 4.753 0.000
-0.319 0.000 3.763
P Ir Se
4 2 2
Direct
0.000 0.000 0.000 P
0.236 0.500 0.640 P
0.500 0.500 0.000 P
0.736 0.000 0.640 P
0.040 0.500 0.084 Ir
0.540 0.000 0.084 Ir
0.318 0.000 0.568 Se
0.818 0.500 0.568 Se
```


no.,energy (eV/atom),calculated density (g cm⁻³)
1,-4.48,8.06
2,-4.38,5.89
3,-5.07,4.29
4,-6.37,9.84
5,-3.75,3.29
6,-5.78,8.54
7,-7.72,8.74
8,-5.80,7.99
9,-5.16,5.59
10,-2.45,4.44
11,-7.39,6.10
12,-5.85,8.10